(1)
A relaxed InSn2Hg crystal. Source: the Alexandria database, functional PBE. Values from VASP.

Calculated values
**Energy of formation from the pure elements**: 84.8 meV/atom
**Calculated density**: 7809 kg/m³
**Space group**: R3m (160)
**Total moment**: 0.000 μB/atom
**Raw total energy**: -10.707 eV for the cell shown
**DOS(E_F)**: 0.317 states/eV per atom

```
&SYSTEM
  ibrav = 0, nat = 4, ntyp = 3
/
ATOMIC_SPECIES
In 114.82 In.upf
Sn 118.71 Sn.upf
Hg 200.59 Hg.upf
ATOMIC_POSITIONS angstrom
In -5.9792 -1.6459 0.5820
Sn -5.2145 1.3758 0.7519
Sn -2.9973 -0.8153 0.2926
Hg -10.0045 -1.4453 1.0876
CELL_PARAMETERS angstrom
-3.1024 -2.6761 -2.2095
-2.5441 -3.0761 2.3944
-6.2903 2.4391 0.9747
```

=====

(2)
A relaxed Li2MoH4 crystal. Source: the Alexandria database, functional PBE. Values from VASP.

Calculated values
**Calculated density**: 3180 kg/m³
**Space group**: C2/m (12)
**Total moment**: 0.122 μB/atom
**Raw total energy**: -28.882 eV for the cell shown
**DOS(E_F)**: 0.160 states/eV per atom

```
&SYSTEM
  ibrav = 0, nat = 7, ntyp = 3
/
ATOMIC_SPECIES
Li 6.94 Li.upf
Mo 95.94 Mo.upf
H 1.01 H.upf
ATOMIC_POSITIONS angstrom
Li -0.7554 -5.5420 3.3574
Li -1.6369 -2.9257 2.2104
Mo 0.0000 0.0000 0.0000
H -0.1089 -2.4440 2.9458
H -2.2833 -6.0238 2.6220
H -0.5874 -4.4334 4.8868
H -1.8048 -4.0344 0.6809
CELL_PARAMETERS angstrom
-2.5638 -0.5619 0.6888
-0.2619 -5.0528 0.2483
0.4334 -2.8531 4.6307
```